Compound: Ho3Mg4Ag4
Source: the Alexandria database
Functional: PBE
Structure: relaxed

Calculated values
Energy of formation from the pure elements (meV per atom): -211
DFT total energy (eV/atom): -3.08
Magnetization (μB per cell): 0.0
Crystal system: orthorhombic

abc: 3.958 8.214 15.661
angles: 90.00 90.00 90.00
Space group Immm (No. 71)
One atom of each set of equivalent atoms:
Ho (0.000, 0.000, 0.000) [2 per cell]
Ho (0.000, 0.500, 0.113) [4 per cell]
Mg (0.000, 0.309, 0.331) [8 per cell]
Ag (0.000, 0.000, 0.239) [4 per cell]
Ag (0.000, 0.197, 0.500) [4 per cell]